# 1
A relaxed structure of Er2UN4, computed with GGA-PBE.

Computed properties:
SG ... Pbam
E ... -9.300 eV per atom
Total magnetic moment ... 0.00 μB/atom
Formation energy without anion corrections ... -1.627 eV per atom

a b c (Å): 5.758 9.686 3.513
angles (deg): 90.00 90.00 90.00
Atoms (fractional coordinates):
Er 0.063 0.177 0.000
Er 0.437 0.677 0.000
Er 0.563 0.323 0.000
Er 0.937 0.823 0.000
U 0.000 0.500 0.500
U 0.500 0.000 0.500
N 0.148 0.697 0.500
N 0.234 0.458 0.000
N 0.266 0.958 0.000
N 0.352 0.197 0.500
N 0.648 0.803 0.500
N 0.734 0.042 0.000
N 0.766 0.542 0.000
N 0.852 0.303 0.500

***

# 2
A relaxed structure of RbCoHg2Bi, computed with GGA-PBE.

Computed properties:
SG ... P4/mmm
DFT formation energy ... 0.016 eV/atom
E ... -2.495 eV per atom
Total magnetic moment ... 0.12 μB/atom

a b c (Å): 5.301 5.301 5.039
angles (deg): 90.00 90.00 90.00
Atoms (fractional coordinates):
Rb 0.000 0.000 0.000
Co 0.500 0.500 0.500
Hg 0.000 0.500 0.500
Hg 0.500 0.000 0.500
Bi 0.500 0.500 0.000

***

# 3
A relaxed structure of BaIn12Ag6, computed with GGA-PBE.

Computed properties:
SG ... R-3m
DFT formation energy ... -0.050 eV/atom
E ... -2.781 eV per atom
Total magnetic moment ... 0.00 μB/atom

a b c (Å): 8.219 8.219 8.219
angles (deg): 105.00 105.00 105.00
Atoms (fractional coordinates):
Ba 0.000 0.000 0.000
In 0.115 0.500 0.885
In 0.115 0.885 0.500
In 0.154 0.407 0.407
In 0.407 0.154 0.407
In 0.407 0.407 0.154
In 0.500 0.115 0.885
In 0.500 0.885 0.115
In 0.593 0.593 0.846
In 0.593 0.846 0.593
In 0.846 0.593 0.593
In 0.885 0.115 0.500
In 0.885 0.500 0.115
Ag 0.277 0.277 0.715
Ag 0.277 0.715 0.277
Ag 0.285 0.723 0.723
Ag 0.715 0.277 0.277
Ag 0.723 0.285 0.723
Ag 0.723 0.723 0.285

***

# 4
A relaxed structure of La3NdDy3, computed with GGA-PBE.

Computed properties:
SG ... R-3
Relative energy among the computed polymorphs ... 0.092 eV per atom
DFT formation energy ... 0.129 eV/atom
E ... -4.636 eV per atom
Total magnetic moment ... 0.00 μB/atom

a b c (Å): 8.363 8.363 8.363
angles (deg): 69.44 69.44 69.44
Atoms (fractional coordinates):
La 0.127 0.270 0.835
La 0.165 0.873 0.730
La 0.270 0.835 0.127
La 0.730 0.165 0.873
La 0.835 0.127 0.270
La 0.873 0.730 0.165
Nd 0.409 0.409 0.409
Nd 0.591 0.591 0.591
Dy 0.025 0.310 0.446
Dy 0.310 0.446 0.025
Dy 0.446 0.025 0.310
Dy 0.554 0.975 0.690
Dy 0.690 0.554 0.975
Dy 0.975 0.690 0.554

***

# 5
A relaxed structure of CuRuCl2, computed with GGA-PBE.

Computed properties:
SG ... I-4m2
Relative energy among the computed polymorphs ... 0.452 eV per atom
E ... -3.783 eV per atom
Total magnetic moment ... 0.51 μB/atom
Formation energy without anion corrections ... 0.484 eV per atom

a b c (Å): 6.635 6.635 6.635
angles (deg): 149.71 149.71 43.36
Atoms (fractional coordinates):
Cu 0.000 0.000 0.000
Ru 0.250 0.750 0.500
Cl 0.500 0.500 0.000
Cl 0.750 0.250 0.500

***

# 6
A relaxed structure of MnWS2Cl, computed with GGA-PBE.

Computed properties:
SG ... P4/mmm
Relative energy among the computed polymorphs ... 0.000 eV per atom
E ... -6.194 eV per atom
Total magnetic moment ... 1.15 μB/atom
Formation energy without anion corrections ... 0.250 eV per atom

a b c (Å): 4.679 4.679 4.918
angles (deg): 90.00 90.00 90.00
Atoms (fractional coordinates):
Mn 0.000 0.000 0.000
W 0.500 0.500 0.500
S 0.000 0.500 0.500
S 0.500 0.000 0.500
Cl 0.500 0.500 0.000

***

# 7
A relaxed structure of Dy2ErAu, computed with GGA-PBE.

Computed properties:
SG ... R-3m
Relative energy among the computed polymorphs ... 0.179 eV per atom
DFT formation energy ... -0.272 eV/atom
E ... -4.533 eV per atom
Total magnetic moment ... 0.00 μB/atom

a b c (Å): 10.237 10.237 10.237
angles (deg): 20.46 20.46 20.46
Atoms (fractional coordinates):
Dy 0.238 0.238 0.238
Dy 0.762 0.762 0.762
Er 0.000 0.000 0.000
Au 0.500 0.500 0.500

***

# 8
A relaxed structure of NdYPa2As4, computed with GGA-PBE.

Computed properties:
SG ... P2/m
DFT formation energy ... -1.281 eV/atom
E ... -7.384 eV per atom
Total magnetic moment ... 0.00 μB/atom

a b c (Å): 7.172 4.140 7.175
angles (deg): 90.00 109.45 90.00
Atoms (fractional coordinates):
Nd 0.000 0.000 0.000
Y 0.500 0.500 0.000
Pa 0.000 0.500 0.500
Pa 0.500 0.000 0.500
As 0.252 0.000 0.743
As 0.257 0.500 0.260
As 0.743 0.500 0.740
As 0.748 0.000 0.257